A | Material: Y2IrO6
Method: DFT, PBE-GGA
State: optimized geometry

Cell: 5.418 5.806 7.864 Å, 90.00 96.27 90.00°
Element x y z (fractional)
O1 0.206 0.327 0.052
O2 0.351 0.772 0.094
O3 0.162 0.079 0.725
O4 0.649 0.228 0.906
O5 0.149 0.272 0.406
O6 0.294 0.827 0.448
O7 0.706 0.173 0.552
O8 0.794 0.673 0.948
O9 0.662 0.421 0.225
O10 0.838 0.921 0.275
O11 0.338 0.579 0.775
O12 0.851 0.728 0.594
Ir1 0.000 0.000 0.500
Ir2 0.500 0.500 0.000
Y1 0.459 0.086 0.263
Y2 0.041 0.586 0.237
Y3 0.541 0.914 0.737
Y4 0.959 0.414 0.763

Results
SG = No. 14
Total magnetic moment = 0.308 μB/atom
Crystal system = monoclinic

B | Material: Y2IrO6
Method: DFT, PBE-GGA
State: optimized geometry

Cell: 5.000 5.000 10.032 Å, 90.00 90.00 90.00°
Element x y z (fractional)
O1 0.815 0.185 0.854
O2 0.315 0.315 0.646
O3 0.724 0.724 0.000
O4 0.224 0.776 0.500
O5 0.185 0.815 0.146
O6 0.776 0.224 0.500
O7 0.815 0.185 0.146
O8 0.276 0.276 0.000
O9 0.185 0.815 0.854
O10 0.685 0.685 0.646
O11 0.315 0.315 0.354
O12 0.685 0.685 0.354
Ir1 0.000 0.000 0.000
Ir2 0.500 0.500 0.500
Y1 0.000 0.000 0.669
Y2 0.500 0.500 0.831
Y3 0.000 0.000 0.331
Y4 0.500 0.500 0.169

Results
SG = No. 136
Total magnetic moment = 0.296 μB/atom
Crystal system = tetragonal

Short version: A is the most stable of them.

A | Material: YIr3O
Method: DFT, PBE-GGA
State: optimized geometry

Cell: 5.071 5.071 5.071 Å, 90.00 90.00 90.00°
Element x y z (fractional)
Ir1 0.000 0.500 0.000
Ir2 0.500 0.000 0.000
Ir3 0.000 0.000 0.500
Y1 0.000 0.000 0.000
O1 0.500 0.500 0.500

Results
SG = No. 221
Total magnetic moment = 0.875 μB/atom
Crystal system = cubic

B | Material: YIr3O
Method: DFT, PBE-GGA
State: optimized geometry

Cell: 4.280 4.280 4.280 Å, 90.00 90.00 90.00°
Element x y z (fractional)
O1 0.000 0.000 0.000
Ir1 0.500 0.000 0.000
Ir2 0.000 0.500 0.000
Ir3 0.000 0.000 0.500
Y1 0.500 0.500 0.500

Results
SG = No. 221
Total magnetic moment = 0.083 μB/atom
Crystal system = cubic

Short version: B is the most stable of them.

A | Material: ZnIr2O
Method: DFT, PBE-GGA
State: optimized geometry

Cell: 4.172 4.172 4.172 Å, 60.00 60.00 60.00°
Element x y z (fractional)
Ir1 0.250 0.250 0.250
Ir2 0.750 0.750 0.750
O1 0.000 0.000 0.000
Zn1 0.500 0.500 0.500

Results
SG = No. 225
Total magnetic moment = 0.000 μB/atom
Crystal system = cubic

B | Material: ZnIr2O
Method: DFT, PBE-GGA
State: optimized geometry

Cell: 4.499 4.499 7.330 Å, 72.13 72.13 90.00°
Element x y z (fractional)
Ir1 0.875 0.733 0.750
Ir2 0.483 0.125 0.250
Ir3 0.375 0.517 0.750
Ir4 0.267 0.625 0.250
O1 0.250 0.750 0.500
O2 0.500 0.500 0.000
Zn1 0.750 0.250 0.500
Zn2 0.000 0.000 0.000

Results
SG = No. 122
Total magnetic moment = 0.000 μB/atom
Crystal system = tetragonal

Short version: B is the most stable of them.

A | Material: ZnIr3O
Method: DFT, PBE-GGA
State: optimized geometry

Cell: 4.584 4.584 4.584 Å, 90.00 90.00 90.00°
Element x y z (fractional)
Ir1 0.000 0.000 0.500
Ir2 0.000 0.500 0.000
Ir3 0.500 0.000 0.000
O1 0.500 0.500 0.500
Zn1 0.000 0.000 0.000

Results
SG = No. 221
Total magnetic moment = 1.082 μB/atom
Crystal system = cubic

B | Material: ZnIr3O
Method: DFT, PBE-GGA
State: optimized geometry

Cell: 4.130 4.130 4.130 Å, 90.00 90.00 90.00°
Element x y z (fractional)
Zn1 0.500 0.500 0.500
Ir1 0.000 0.000 0.500
Ir2 0.500 0.000 0.000
Ir3 0.000 0.500 0.000
O1 0.000 0.000 0.000

Results
SG = No. 221
Total magnetic moment = 0.000 μB/atom
Crystal system = cubic

Short version: B is the most stable of them.

A | Material: IrOs5
Method: DFT, PBE-GGA
State: optimized geometry

Cell: 6.673 5.460 8.221 Å, 90.00 90.00 144.84°
Element x y z (fractional)
Os1 0.250 0.627 0.419
Os2 0.250 0.122 0.414
Os3 0.750 0.878 0.586
Os4 0.250 0.622 0.750
Os5 0.750 0.378 0.250
Os6 0.750 0.878 0.914
Os7 0.750 0.373 0.581
Os8 0.750 0.373 0.919
Os9 0.250 0.627 0.081
Os10 0.250 0.122 0.086
Ir1 0.750 0.874 0.250
Ir2 0.250 0.126 0.750

Results
SG = No. 11
Total magnetic moment = 0.000 μB/atom
Crystal system = monoclinic

B | Material: IrOs5
Method: DFT, PBE-GGA
State: optimized geometry

Cell: 2.756 7.291 4.354 Å, 90.00 90.00 79.11°
Element x y z (fractional)
Os1 0.888 0.224 0.500
Os2 0.556 0.888 0.500
Os3 0.668 0.663 0.000
Os4 0.332 0.337 0.000
Os5 0.222 0.556 0.500
Ir1 0.000 0.999 0.000

Results
SG = No. 38
Total magnetic moment = 0.000 μB/atom
Crystal system = orthorhombic

C | Material: IrOs5
Method: DFT, PBE-GGA
State: optimized geometry

Cell: 3.863 3.863 6.090 Å, 108.49 90.00 90.00°
Element x y z (fractional)
Os1 0.500 0.500 0.000
Os2 0.500 0.833 0.665
Os3 0.000 0.668 0.336
Os4 0.000 0.332 0.664
Os5 0.500 0.167 0.335
Ir1 0.000 0.000 0.000

Results
SG = No. 65
Total magnetic moment = 0.000 μB/atom
Crystal system = orthorhombic

D | Material: IrOs5
Method: DFT, PBE-GGA
State: optimized geometry

Cell: 4.774 4.774 4.351 Å, 90.00 90.00 120.00°
Element x y z (fractional)
Os1 0.332 0.667 0.000
Os2 0.333 0.000 0.500
Os3 0.001 0.001 0.000
Os4 0.667 0.332 0.000
Os5 0.000 0.333 0.500
Ir1 0.667 0.667 0.500

Results
SG = No. 189
Total magnetic moment = 0.000 μB/atom
Crystal system = hexagonal

Short version: D is the most stable of them.